(1)
Here is Sr2FeMo after structural relaxation from Alexandria via LeMat-Bulk. Energies are from PBE.

Values from the calculation:
Energy of formation from the pure elements = 1.201 eV/atom
Energy relative to the lowest polymorph listed for this composition = 631 meV per atom
Density of states at the Fermi level = 1.3573 states/eV/atom

Unit cell a=3.1118 b=4.8820 c=6.4930 alpha=90.00 beta=90.00 gamma=90.00
Last column: nearest neighbours and their distance in Å.
Atoms (fractional coordinates):
Sr1 0.0000 0.0000 0.2492  4 Sr 3.11-3.26, 4 Fe 3.32, 4 Mo 3.32
Sr2 0.0000 0.0000 0.7508  4 Sr 3.11-3.26, 4 Fe 3.32, 4 Mo 3.32
Fe1 0.5000 0.5000 0.0000  2 Fe 3.11, 2 Mo 3.25, 8 Sr 3.32
Mo1 0.5000 0.5000 0.5000  2 Mo 3.11, 2 Fe 3.25, 8 Sr 3.32



(2)
Here is Cs2LiIrO6 after structural relaxation from Alexandria via LeMat-Bulk. Energies are from PBE.

Values from the calculation:
Formation energy (no corrections) = -987 meV/atom

Unit cell a=6.0927 b=6.0927 c=6.0927 alpha=60.00 beta=60.00 gamma=60.00
Last column: nearest neighbours and their distance in Å.
Atoms (fractional coordinates):
Cs1 0.2500 0.2500 0.2500  12 O 3.06
Cs2 0.7500 0.7500 0.7500  12 O 3.06
Li1 0.0000 0.0000 0.0000  6 O 2.43
Ir1 0.5000 0.5000 0.5000  6 O 1.88
O1 0.2817 0.2817 0.7183  1 Ir 1.88
O2 0.2817 0.7183 0.2817  1 Ir 1.88
O3 0.2817 0.7183 0.7183  1 Ir 1.88
O4 0.7183 0.2817 0.2817  1 Ir 1.88
O5 0.7183 0.2817 0.7183  1 Ir 1.88
O6 0.7183 0.7183 0.2817  1 Ir 1.88



(3)
Here is AgAs2Ir2 after structural relaxation from Alexandria via LeMat-Bulk. Energies are from PBE.

Values from the calculation:
Energy of formation from the pure elements = 0.155 eV/atom
Density of states at the Fermi level = 0.7021 states/eV/atom

Unit cell a=6.2636 b=6.2636 c=6.2636 alpha=142.49 beta=142.49 gamma=54.10
Last column: nearest neighbours and their distance in Å.
Atoms (fractional coordinates):
Ag1 0.0000 0.0000 0.0000  8 Ir 3.15, 8 As 3.44
As1 0.2500 0.7500 0.5000  4 Ir 2.48
As2 0.7500 0.2500 0.5000  4 Ir 2.48
Ir1 0.3800 0.3800 0.0000  4 As 2.48, 1 Ir 2.68
Ir2 0.6200 0.6200 0.0000  4 As 2.48, 1 Ir 2.68